Computed, not measured: a geometry-optimized La2NiAsH structure at the PBE level of DFT.

POSCAR file:
```
La2NiAsH
1.0
5.1335 0.0000 0.0000
0.0000 5.1335 0.0000
0.0000 0.0000 3.7455
Ni La As H
1 2 1 1
Cartesian
0.0000 0.0000 1.8727
2.5667 0.0000 0.0000
0.0000 2.5667 0.0000
2.5667 2.5667 1.8727
0.0000 0.0000 0.0000
```

Output
* N(E_F): 0.8859 states/eV per atom
* electronic total energy: -27.07 eV per formula unit

Computed, not measured: a geometry-optimized LaNiAsH structure at the PBE level of DFT.

POSCAR file:
```
LaNiAsH
1.0
4.1934 0.0000 0.0000
-2.0967 3.6319 0.0061
0.0000 -0.0071 4.2070
H Ni As La
1 1 1 1
Cartesian
0.0000 1.7312 1.0477
0.0000 1.7270 3.6325
2.0967 2.9380 3.3901
2.0967 0.5200 1.3613
```

Output
* N(E_F): 0.4414 states/eV per atom
* electronic total energy: -22.41 eV per formula unit

Computed, not measured: a geometry-optimized LaNi2AsH2 structure at the PBE level of DFT.

POSCAR file:
```
LaNi2AsH2
1.0
-3.6222 0.0004 3.4940
-3.8235 -2.2614 -3.9635
2.7972 -4.5040 2.9002
As Ni H La
2 4 4 2
Cartesian
-5.4887 -2.5131 -0.2529
0.8401 -4.2519 2.6836
-3.7678 -1.2832 3.3423
-2.6909 -5.4816 0.8346
-1.9576 -1.2834 1.5962
-0.8808 -5.4818 -0.9115
-3.3675 -2.0795 1.9460
-0.8075 -2.3037 0.9754
-1.2810 -4.6855 0.4848
-3.8410 -4.4613 1.4554
-2.6354 -2.9533 -0.9194
-2.0132 -3.8117 3.3501
```

Output
* N(E_F): 0.7101 states/eV per atom
* electronic total energy: -30.91 eV per formula unit

Computed, not measured: a geometry-optimized LaAsHOs2 structure at the PBE level of DFT.

POSCAR file:
```
LaAsHOs2
1.0
4.1000 0.0000 0.0000
0.0000 4.6535 0.0000
0.0000 0.0000 4.1000
La Os As H
1 2 1 1
Cartesian
2.0500 2.3267 2.0500
0.0000 0.0000 2.0500
2.0500 0.0000 0.0000
0.0000 2.3267 0.0000
0.0000 0.0000 0.0000
```

Output
* N(E_F): 0.9299 states/eV per atom
* electronic total energy: -33.67 eV per formula unit

Computed, not measured: a geometry-optimized LaAsH2Pd2 structure at the PBE level of DFT.

POSCAR file:
```
LaAsH2Pd2
1.0
5.6201 0.0000 0.0000
0.0000 5.8164 0.3601
0.0000 -1.7411 5.7684
La H As Pd
2 4 2 4
Cartesian
4.2151 0.5525 4.2121
1.4050 3.5229 1.9163
1.4050 0.8213 2.3813
4.2151 1.6575 1.8527
4.2151 3.2540 3.7472
1.4050 2.4179 4.2758
1.4050 -0.3330 5.0275
4.2151 4.4083 1.1010
2.8042 3.3782 4.8442
5.6143 0.6972 1.2842
0.0059 3.3782 4.8442
2.8159 0.6972 1.2842
```

Output
* N(E_F): 0.4124 states/eV per atom
* electronic total energy: -29.99 eV per formula unit

Computed, not measured: a geometry-optimized LaAsHPd2 structure at the PBE level of DFT.

POSCAR file:
```
LaAsHPd2
1.0
-2.4043 3.4018 -0.3432
-2.2955 -4.4918 -2.9898
-3.7731 -2.0620 5.9949
As Pd La H
2 4 2 2
Cartesian
-2.9027 -2.0789 -0.2723
-5.5702 -1.0730 2.9342
-5.2698 -1.1226 0.3367
-3.7987 -0.3187 -2.0006
-4.6742 -2.8332 4.6626
-3.2031 -2.0293 2.3253
-2.5880 0.8323 0.9271
-5.8849 -3.9842 1.7348
-1.8866 -1.0310 2.9974
0.0000 0.0000 0.0000
```

Output
* N(E_F): 0.3866 states/eV per atom
* electronic total energy: -27.41 eV per formula unit

Computed, not measured: a geometry-optimized LaAsHPd structure at the PBE level of DFT.

POSCAR file:
```
LaAsHPd
1.0
-0.9989 -1.0618 -4.2013
-0.4917 -3.0144 3.2324
-3.7629 1.2377 0.5819
Pd La As H
1 1 1 1
Cartesian
-3.4501 -0.7125 1.0004
-1.7956 -0.6615 -1.7595
-4.4054 -2.3839 -0.7036
-1.6652 -1.2995 0.7244
```

Output
* N(E_F): 0.2166 states/eV per atom
* electronic total energy: -22.05 eV per formula unit

Computed, not measured: a geometry-optimized LaAsH2Rh structure at the PBE level of DFT.

POSCAR file:
```
LaAsH2Rh
1.0
-2.4842 -1.9812 -2.4436
1.9942 -4.2234 1.3968
-2.6847 -0.2878 2.9626
Rh H As La
1 2 1 1
Cartesian
0.9971 -2.1117 0.6984
-1.3423 -0.1439 1.4813
-1.2421 -0.9906 -1.2218
0.0000 0.0000 0.0000
-1.5873 -3.2462 0.9579
```

Output
* N(E_F): 0.3528 states/eV per atom
* electronic total energy: -24.83 eV per formula unit

Computed, not measured: a geometry-optimized LaAsH2Rh structure at the PBE level of DFT.

POSCAR file:
```
LaAsH2Rh
1.0
4.0097 0.0000 0.0000
-2.0048 5.3084 0.0000
0.0000 0.0000 6.6224
La H As Rh
2 4 2 2
Cartesian
2.0048 2.2752 4.9668
0.0000 3.0332 1.6556
0.0000 1.6780 3.6885
2.0048 3.6305 0.3773
2.0048 3.6305 2.9339
0.0000 1.6780 6.2451
0.0000 4.6329 4.9668
2.0048 0.6756 1.6556
0.0000 0.0000 0.0000
0.0000 0.0000 3.3112
```

Output
* N(E_F): 0.5333 states/eV per atom
* electronic total energy: -27.24 eV per formula unit

Computed, not measured: a geometry-optimized LaAsH2Ru structure at the PBE level of DFT.

POSCAR file:
```
LaAsH2Ru
1.0
-1.5206 -3.5836 -1.2824
3.5313 -0.7622 4.4928
-4.7041 0.6344 3.8050
Ru H As La
2 4 2 2
Cartesian
0.0000 0.0000 0.0000
-2.3521 0.3172 1.9025
-0.9126 -3.2713 3.6738
-3.5461 -0.2021 4.7696
-1.7808 -0.4402 3.3417
0.8527 -3.5093 2.2459
-1.1726 -1.6953 6.1278
-1.5208 -2.0162 0.8876
-3.1491 -2.3661 3.7962
0.4557 -1.3454 3.2193
```

Output
* N(E_F): 0.2672 states/eV per atom
* electronic total energy: -28.81 eV per formula unit

Computed, not measured: a geometry-optimized LaAsHSe2 structure at the PBE level of DFT.

POSCAR file:
```
LaAsHSe2
1.0
5.0922 0.0000 0.0000
0.0000 5.0922 0.0000
0.0000 0.0000 3.7346
La H Se As
1 1 2 1
Cartesian
2.5461 2.5461 1.8673
0.0000 0.0000 0.0000
2.5461 0.0000 0.0000
0.0000 2.5461 0.0000
0.0000 0.0000 1.8673
```

Output
* N(E_F): 0.3072 states/eV per atom
* electronic total energy: -22.59 eV per formula unit

Computed, not measured: a geometry-optimized LaAs2HSe structure at the PBE level of DFT.

POSCAR file:
```
LaAs2HSe
1.0
4.1916 0.0000 0.0000
0.0000 4.1916 0.0000
0.0000 0.0000 5.5622
As Se La H
2 1 1 1
Cartesian
2.0958 0.0000 0.0000
0.0000 2.0958 0.0000
0.0000 0.0000 2.7811
2.0958 2.0958 2.7811
0.0000 0.0000 0.0000
```

Output
* N(E_F): 0.8849 states/eV per atom
* electronic total energy: -23.27 eV per formula unit